[1]
VASP calculation (PBE) on a relaxed structure of TlGa2W.

Cell lengths 6.693, 6.693, 6.693 Å; angles 90.00, 90.00, 90.00 degrees
Space group Fm-3m (No. 225)
Asymmetric unit:
Tl 0.000 0.000 0.000 (multiplicity 4)
Ga 0.250 0.250 0.250 (multiplicity 8)
W 0.000 0.000 0.500 (multiplicity 4)

Energy above the lowest structure with this stoichiometry   130.2 meV per atom
Final energy   -71.53 eV per cell
Formation energy   0.87 eV/atom
Total magnetic moment   0.0 μB/f.u.
Density   11692 kg/m3

[2]
VASP calculation (PBE) on a relaxed structure of TlGaW.

Cell lengths 2.883, 4.558, 10.322 Å; angles 79.67, 85.67, 89.57 degrees
Space group P-1 (No. 2)
Asymmetric unit:
Tl 0.104 0.295 0.390 (multiplicity 2)
Ga 0.154 0.896 0.138 (multiplicity 2)
W 0.371 0.591 0.888 (multiplicity 2)

Energy above the lowest structure with this stoichiometry   152.3 meV per atom
Final energy   -34.80 eV per cell
Formation energy   0.31 eV/atom
Total magnetic moment   0.0 μB/f.u.
Density   11429 kg/m3

[3]
VASP calculation (PBE) on a relaxed structure of TlGaW3.

Cell lengths 4.967, 4.967, 4.967 Å; angles 90.00, 90.00, 90.00 degrees
Space group Pm-3m (No. 221)
Asymmetric unit:
Tl 0.000 0.000 0.000 (multiplicity 1)
Ga 0.500 0.500 0.500 (multiplicity 1)
W 0.000 0.000 0.500 (multiplicity 3)

Energy above the lowest structure with this stoichiometry   1311.9 meV per atom
Final energy   -28.28 eV per cell
Formation energy   3.20 eV/atom
Total magnetic moment   0.0 μB/f.u.
Density   11188 kg/m3

[4]
VASP calculation (PBE) on a relaxed structure of TlGaW3.

Cell lengths 4.646, 4.646, 4.646 Å; angles 90.00, 90.00, 90.00 degrees
Space group Pm-3m (No. 221)
Asymmetric unit:
Tl 0.000 0.000 0.000 (multiplicity 1)
Ga 0.500 0.500 0.500 (multiplicity 1)
W 0.000 0.500 0.500 (multiplicity 3)

Energy above the lowest structure with this stoichiometry   0.0 meV per atom
Final energy   -34.83 eV per cell
Formation energy   1.88 eV/atom
Total magnetic moment   0.0 μB/f.u.
Density   13675 kg/m3

[5]
VASP calculation (PBE) on a relaxed structure of TlGaW.

Cell lengths 3.173, 3.179, 15.019 Å; angles 84.10, 89.04, 60.08 degrees
Space group P-1 (No. 2)
Asymmetric unit:
Tl 0.086 0.388 0.122 (multiplicity 2)
Ga 0.458 0.619 0.298 (multiplicity 2)
W 0.155 0.201 0.439 (multiplicity 2)

Energy above the lowest structure with this stoichiometry   110.2 meV per atom
Final energy   -35.06 eV per cell
Formation energy   0.27 eV/atom
Total magnetic moment   0.0 μB/f.u.
Density   11654 kg/m3

[6]
VASP calculation (PBE) on a relaxed structure of TlGaW.

Cell lengths 3.282, 3.283, 12.167 Å; angles 90.04, 90.11, 90.00 degrees
Space group P-1 (No. 2)
Asymmetric unit:
Tl 0.245 0.248 0.138 (multiplicity 2)
Ga 0.251 0.251 0.677 (multiplicity 2)
W 0.250 0.250 0.442 (multiplicity 2)

Energy above the lowest structure with this stoichiometry   0.0 meV per atom
Final energy   -35.72 eV per cell
Formation energy   0.16 eV/atom
Total magnetic moment   0.0 μB/f.u.
Density   11602 kg/m3

[7]
VASP calculation (PBE) on a relaxed structure of TlGa2W.

Cell lengths 7.830, 7.830, 5.659 Å; angles 90.00, 90.00, 90.00 degrees
Space group I-42d (No. 122)
Asymmetric unit:
Tl 0.000 0.000 0.000 (multiplicity 4)
Ga 0.192 0.250 0.625 (multiplicity 8)
W 0.000 0.000 0.500 (multiplicity 4)

Energy above the lowest structure with this stoichiometry   0.0 meV per atom
Final energy   -73.61 eV per cell
Formation energy   0.74 eV/atom
Total magnetic moment   0.0 μB/f.u.
Density   10102 kg/m3

[8]
VASP calculation (PBE) on a relaxed structure of Y2TlGa2.

Cell lengths 7.320, 7.320, 4.408 Å; angles 90.00, 90.00, 90.00 degrees
Space group P4/mbm (No. 127)
Asymmetric unit:
Y 0.172 0.328 0.000 (multiplicity 4)
Tl 0.000 0.000 0.500 (multiplicity 2)
Ga 0.124 0.624 0.500 (multiplicity 4)

Energy above the lowest structure with this stoichiometry   0.0 meV per atom
Final energy   -48.21 eV per cell
Formation energy   -0.55 eV/atom
Total magnetic moment   0.0 μB/f.u.
Density   7334 kg/m3

[9]
VASP calculation (PBE) on a relaxed structure of Y2TlGa2.

Cell lengths 4.952, 4.952, 11.369 Å; angles 90.00, 90.00, 90.00 degrees
Space group I4/mmm (No. 139)
Asymmetric unit:
Y 0.000 0.500 0.250 (multiplicity 4)
Tl 0.000 0.000 0.000 (multiplicity 2)
Ga 0.000 0.000 0.396 (multiplicity 4)

Energy above the lowest structure with this stoichiometry   442.3 meV per atom
Final energy   -43.79 eV per cell
Formation energy   -0.11 eV/atom
Total magnetic moment   0.5 μB/f.u.
Density   6214 kg/m3

[10]
VASP calculation (PBE) on a relaxed structure of Y2TlGa2.

Cell lengths 3.717, 3.717, 18.309 Å; angles 90.00, 90.00, 90.00 degrees
Space group I4/mmm (No. 139)
Asymmetric unit:
Y 0.000 0.000 0.111 (multiplicity 4)
Tl 0.000 0.000 0.500 (multiplicity 2)
Ga 0.000 0.500 0.250 (multiplicity 4)

Energy above the lowest structure with this stoichiometry   275.1 meV per atom
Final energy   -45.46 eV per cell
Formation energy   -0.28 eV/atom
Total magnetic moment   0.0 μB/f.u.
Density   6848 kg/m3

[11]
VASP calculation (PBE) on a relaxed structure of Y4Tl3Ga.

Cell lengths 3.699, 3.699, 15.369 Å; angles 90.00, 90.00, 90.00 degrees
Space group P4/mmm (No. 123)
Asymmetric unit:
Y 0.000 0.000 0.113 (multiplicity 2)
Y 0.000 0.000 0.370 (multiplicity 2)
Tl 0.500 0.500 0.242 (multiplicity 2)
Tl 0.500 0.500 0.500 (multiplicity 1)
Ga 0.500 0.500 0.000 (multiplicity 1)

Final energy   -39.43 eV per cell
Formation energy   -0.43 eV/atom
Total magnetic moment   0.0 μB/f.u.
Density   8199 kg/m3

[12]
VASP calculation (PBE) on a relaxed structure of Y2TlGa2.

Cell lengths 8.461, 8.461, 3.571 Å; angles 90.00, 90.00, 90.00 degrees
Space group P4/mbm (No. 127)
Asymmetric unit:
Y 0.176 0.324 0.000 (multiplicity 4)
Tl 0.000 0.000 0.000 (multiplicity 2)
Ga 0.120 0.620 0.500 (multiplicity 4)

Energy above the lowest structure with this stoichiometry   228.1 meV per atom
Final energy   -45.93 eV per cell
Formation energy   -0.32 eV/atom
Total magnetic moment   0.0 μB/f.u.
Density   6776 kg/m3

[13]
VASP calculation (PBE) on a relaxed structure of Y5Tl4Ga.

Cell lengths 3.690, 3.690, 19.528 Å; angles 90.00, 90.00, 90.00 degrees
Space group P4/mmm (No. 123)
Asymmetric unit:
Y 0.000 0.000 0.000 (multiplicity 1)
Y 0.000 0.000 0.206 (multiplicity 2)
Y 0.000 0.000 0.411 (multiplicity 2)
Tl 0.500 0.500 0.103 (multiplicity 2)
Tl 0.500 0.500 0.308 (multiplicity 2)
Ga 0.500 0.500 0.500 (multiplicity 1)

Final energy   -49.00 eV per cell
Formation energy   -0.42 eV/atom
Total magnetic moment   0.0 μB/f.u.
Density   8318 kg/m3

[14]
VASP calculation (PBE) on a relaxed structure of Y2Tl2Ga.

Cell lengths 7.534, 7.534, 4.669 Å; angles 90.00, 90.00, 90.00 degrees
Space group P4/mbm (No. 127)
Asymmetric unit:
Y 0.168 0.332 0.000 (multiplicity 4)
Tl 0.140 0.640 0.500 (multiplicity 4)
Ga 0.000 0.000 0.500 (multiplicity 2)

Energy above the lowest structure with this stoichiometry   0.0 meV per atom
Final energy   -44.31 eV per cell
Formation energy   -0.29 eV/atom
Total magnetic moment   0.0 μB/f.u.
Density   8224 kg/m3

[15]
VASP calculation (PBE) on a relaxed structure of YTlGa3.

Cell lengths 5.249, 5.249, 5.249 Å; angles 90.00, 90.00, 90.00 degrees
Space group Pm-3m (No. 221)
Asymmetric unit:
Y 0.000 0.000 0.000 (multiplicity 1)
Tl 0.500 0.500 0.500 (multiplicity 1)
Ga 0.000 0.500 0.500 (multiplicity 3)

Energy above the lowest structure with this stoichiometry   0.0 meV per atom
Final energy   -15.53 eV per cell
Formation energy   0.48 eV/atom
Total magnetic moment   0.0 μB/f.u.
Density   5770 kg/m3

[16]
VASP calculation (PBE) on a relaxed structure of Y4TlGa.

Cell lengths 5.079, 5.079, 7.217 Å; angles 90.00, 90.00, 90.00 degrees
Space group P4/mmm (No. 123)
Asymmetric unit:
Y 0.000 0.500 0.238 (multiplicity 4)
Tl 0.000 0.000 0.500 (multiplicity 1)
Ga 0.500 0.500 0.000 (multiplicity 1)

Final energy   -32.37 eV per cell
Formation energy   -0.19 eV/atom
Total magnetic moment   0.0 μB/f.u.
Density   5618 kg/m3

[17]
VASP calculation (PBE) on a relaxed structure of Y4Tl2Ga.

Cell lengths 5.2216, 5.2216, 25.6626 Å; angles 90.00, 90.00, 120.00 degrees
Space group R-3m (No. 166, hexagonal axes)
Asymmetric unit:
Y 0.0000 0.0000 0.1226 (multiplicity 6)
Y 0.0000 0.0000 0.3742 (multiplicity 6)
Tl 0.0000 0.0000 0.2445 (multiplicity 6)
Ga 0.0000 0.0000 0.0000 (multiplicity 3)

Energy above the lowest structure with this stoichiometry   0.0 meV per atom
Final energy   -107.04 eV per cell
Formation energy   -0.29 eV/atom
Total magnetic moment   0.0 μB/f.u.
Density   6857 kg/m3

[18]
VASP calculation (PBE) on a relaxed structure of Y2Tl2Ga.

Cell lengths 7.939, 7.939, 4.480 Å; angles 90.00, 90.00, 90.00 degrees
Space group P4/mbm (No. 127)
Asymmetric unit:
Y 0.161 0.339 0.000 (multiplicity 4)
Tl 0.146 0.646 0.500 (multiplicity 4)
Ga 0.000 0.000 0.000 (multiplicity 2)

Energy above the lowest structure with this stoichiometry   81.9 meV per atom
Final energy   -43.49 eV per cell
Formation energy   -0.21 eV/atom
Total magnetic moment   0.0 μB/f.u.
Density   7719 kg/m3

[19]
VASP calculation (PBE) on a relaxed structure of Y8Tl2Ga.

Cell lengths 19.010, 5.152, 6.797 Å; angles 90.00, 104.44, 90.00 degrees
Space group C2/m (No. 12)
Asymmetric unit:
Y 0.018 0.000 0.274 (multiplicity 4)
Y 0.090 0.500 0.960 (multiplicity 4)
Y 0.154 0.500 0.486 (multiplicity 4)
Y 0.207 0.000 0.817 (multiplicity 4)
Tl 0.182 0.000 0.251 (multiplicity 4)
Ga 0.000 0.500 0.500 (multiplicity 2)

Final energy   -124.16 eV per cell
Formation energy   -0.24 eV/atom
Total magnetic moment   0.0 μB/f.u.
Density   6129 kg/m3

[20]
VASP calculation (PBE) on a relaxed structure of YTlGa3.

Cell lengths 5.576, 5.576, 5.576 Å; angles 90.00, 90.00, 90.00 degrees
Space group Pm-3m (No. 221)
Asymmetric unit:
Y 0.000 0.000 0.000 (multiplicity 1)
Tl 0.500 0.500 0.500 (multiplicity 1)
Ga 0.000 0.000 0.500 (multiplicity 3)

Energy above the lowest structure with this stoichiometry   18.2 meV per atom
Final energy   -15.44 eV per cell
Formation energy   0.49 eV/atom
Total magnetic moment   0.0 μB/f.u.
Density   4813 kg/m3

[21]
VASP calculation (PBE) on a relaxed structure of Y4TlGa3.

Cell lengths 4.138, 4.423, 11.077 Å; angles 90.00, 90.00, 90.00 degrees
Space group Pmm2 (No. 25)
Asymmetric unit:
Y 0.000 0.000 0.000 (multiplicity 1)
Y 0.000 0.500 0.485 (multiplicity 1)
Y 0.500 0.000 0.710 (multiplicity 1)
Y 0.500 0.500 0.218 (multiplicity 1)
Tl 0.000 0.500 0.773 (multiplicity 1)
Ga 0.000 0.000 0.279 (multiplicity 1)
Ga 0.500 0.000 0.429 (multiplicity 1)
Ga 0.500 0.500 0.945 (multiplicity 1)

Final energy   -41.86 eV per cell
Formation energy   -0.57 eV/atom
Total magnetic moment   0.0 μB/f.u.
Density   6300 kg/m3

[22]
VASP calculation (PBE) on a relaxed structure of Y6TlGa2.

Cell lengths 9.694, 9.731, 10.633 Å; angles 90.00, 90.00, 90.00 degrees
Space group Immm (No. 71)
Asymmetric unit:
Y 0.000 0.202 0.240 (multiplicity 8)
Y 0.201 0.500 0.179 (multiplicity 8)
Y 0.222 0.317 0.500 (multiplicity 8)
Tl 0.000 0.000 0.000 (multiplicity 2)
Tl 0.000 0.000 0.500 (multiplicity 2)
Ga 0.000 0.353 0.000 (multiplicity 4)
Ga 0.000 0.500 0.380 (multiplicity 4)

Energy above the lowest structure with this stoichiometry   0.0 meV per atom
Final energy   -204.54 eV per cell
Formation energy   -0.44 eV/atom
Total magnetic moment   0.0 μB/f.u.
Density   5809 kg/m3

[23]
VASP calculation (PBE) on a relaxed structure of Y5TlGa2.

Cell lengths 7.770, 7.770, 14.377 Å; angles 90.00, 90.00, 90.00 degrees
Space group I4/mcm (No. 140)
Asymmetric unit:
Y 0.000 0.000 0.000 (multiplicity 4)
Y 0.167 0.333 0.143 (multiplicity 16)
Tl 0.000 0.000 0.250 (multiplicity 4)
Ga 0.125 0.375 0.500 (multiplicity 8)

Final energy   -178.82 eV per cell
Formation energy   -0.50 eV/atom
Total magnetic moment   0.0 μB/f.u.
Density   6032 kg/m3

[24]
VASP calculation (PBE) on a relaxed structure of Y4Tl2Ga.

Cell lengths 5.402, 5.402, 15.286 Å; angles 90.00, 90.00, 90.00 degrees
Space group I4/mmm (No. 139)
Asymmetric unit:
Y 0.000 0.000 0.184 (multiplicity 4)
Y 0.000 0.500 0.000 (multiplicity 4)
Tl 0.000 0.000 0.381 (multiplicity 4)
Ga 0.000 0.000 0.000 (multiplicity 2)

Energy above the lowest structure with this stoichiometry   146.0 meV per atom
Final energy   -69.31 eV per cell
Formation energy   -0.15 eV/atom
Total magnetic moment   0.0 μB/f.u.
Density   6211 kg/m3

[25]
VASP calculation (PBE) on a relaxed structure of YTlGa.

Cell lengths 3.538, 3.538, 11.801 Å; angles 90.00, 90.00, 90.00 degrees
Space group I4mm (No. 107)
Asymmetric unit:
Y 0.000 0.000 0.000 (multiplicity 2)
Tl 0.000 0.000 0.306 (multiplicity 2)
Ga 0.000 0.000 0.655 (multiplicity 2)

Energy above the lowest structure with this stoichiometry   129.9 meV per atom
Final energy   -25.06 eV per cell
Formation energy   -0.22 eV/atom
Total magnetic moment   0.0 μB/f.u.
Density   8162 kg/m3